[1]
The following is a PBE calculation of a geometry-optimized K2SiPbF structure, from Alexandria via LeMat-Bulk.

```
data_K2SiPbF
_chemical_formula_sum 'K2 Si1 Pb1 F1'
_cell_length_a 6.5486
_cell_length_b 6.5486
_cell_length_c 5.0104
_cell_angle_alpha 90.00
_cell_angle_beta 90.00
_cell_angle_gamma 90.00
_symmetry_space_group_name_H-M 'P 4/m m m'
_symmetry_Int_Tables_number 123
_symmetry_space_group_name_Hall '-P 4 2'
loop_
_atom_site_label
_atom_site_type_symbol
_atom_site_fract_x
_atom_site_fract_y
_atom_site_fract_z
K1 K 0.0000 0.5000 0.0000
Si1 Si 0.0000 0.0000 0.0000
Pb1 Pb 0.0000 0.0000 0.5000
F1 F 0.5000 0.5000 0.5000
```

***

[2]
The following is a PBE calculation of a geometry-optimized KSmPbF6 structure, from Alexandria via LeMat-Bulk.

```
data_KSmPbF6
_chemical_formula_sum 'K2 Sm2 Pb2 F12'
_cell_length_a 5.6513
_cell_length_b 5.6513
_cell_length_c 11.6603
_cell_angle_alpha 90.00
_cell_angle_beta 90.00
_cell_angle_gamma 90.00
_symmetry_space_group_name_H-M 'P 42 n m'
_symmetry_Int_Tables_number 102
loop_
_symmetry_equiv_pos_as_xyz
'x,y,z'
'-y+1/2,x+1/2,z+1/2'
'-x,-y,z'
'y+1/2,-x+1/2,z+1/2'
'-x+1/2,y+1/2,z+1/2'
'y,x,z'
'x+1/2,-y+1/2,z+1/2'
'-y,-x,z'
loop_
_atom_site_label
_atom_site_type_symbol
_atom_site_fract_x
_atom_site_fract_y
_atom_site_fract_z
K1 K 0.0000 0.0000 0.0000
Sm1 Sm 0.0000 0.0000 0.3340
Pb1 Pb 0.0000 0.0000 0.6689
F1 F 0.1757 0.1757 0.4862
F2 F 0.1937 0.1937 0.1919
F3 F 0.2160 0.2160 0.8201
```

***

[3]
The following is a PBE calculation of a geometry-optimized K2SnPbF6 structure, from Alexandria via LeMat-Bulk.

```
data_K2SnPbF6
_chemical_formula_sum 'K2 Sn1 Pb1 F6'
_cell_length_a 6.4194
_cell_length_b 6.4224
_cell_length_c 6.4392
_cell_angle_alpha 63.38
_cell_angle_beta 63.48
_cell_angle_gamma 63.40
_symmetry_space_group_name_H-M 'P 1'
_symmetry_Int_Tables_number 1
loop_
_symmetry_equiv_pos_as_xyz
'x,y,z'
loop_
_atom_site_label
_atom_site_type_symbol
_atom_site_fract_x
_atom_site_fract_y
_atom_site_fract_z
K1 K 0.0000 0.0000 0.0000
K2 K 0.4994 0.5003 0.5006
Sn1 Sn 0.7369 0.7374 0.7361
Pb1 Pb 0.2358 0.2362 0.2354
F1 F 0.1228 0.4061 0.8863
F2 F 0.4051 0.8863 0.1241
F3 F 0.4108 0.9114 0.6148
F4 F 0.6155 0.4120 0.9090
F5 F 0.8858 0.1247 0.4035
F6 F 0.9106 0.6154 0.4124
```

***

[4]
The following is a PBE calculation of a geometry-optimized K2SrPbF8 structure, from Alexandria via LeMat-Bulk.

```
data_K2SrPbF8
_chemical_formula_sum 'K2 Sr1 Pb1 F8'
_cell_length_a 4.0964
_cell_length_b 8.1111
_cell_length_c 6.2252
_cell_angle_alpha 90.00
_cell_angle_beta 93.98
_cell_angle_gamma 90.00
_symmetry_space_group_name_H-M 'P 1 2/m 1'
_symmetry_Int_Tables_number 10
loop_
_symmetry_equiv_pos_as_xyz
'x,y,z'
'-x,-y,-z'
'-x,y,-z'
'x,-y,z'
loop_
_atom_site_label
_atom_site_type_symbol
_atom_site_fract_x
_atom_site_fract_y
_atom_site_fract_z
K1 K 0.0000 0.2480 0.0000
Sr1 Sr 0.5000 0.0000 0.5000
Pb1 Pb 0.5000 0.5000 0.5000
F1 F 0.0108 0.0000 0.7294
F2 F 0.0459 0.5000 0.3013
F3 F 0.4585 0.2899 0.7082
```

***

[5]
The following is a PBE calculation of a geometry-optimized K2SrPbF structure, from Alexandria via LeMat-Bulk.

```
data_K2SrPbF
_chemical_formula_sum 'K2 Sr1 Pb1 F1'
_cell_length_a 5.3885
_cell_length_b 5.3885
_cell_length_c 5.4069
_cell_angle_alpha 90.00
_cell_angle_beta 90.00
_cell_angle_gamma 90.00
_symmetry_space_group_name_H-M 'P 4/m m m'
_symmetry_Int_Tables_number 123
_symmetry_space_group_name_Hall '-P 4 2'
loop_
_atom_site_label
_atom_site_type_symbol
_atom_site_fract_x
_atom_site_fract_y
_atom_site_fract_z
K1 K 0.0000 0.5000 0.0000
Sr1 Sr 0.0000 0.0000 0.5000
Pb1 Pb 0.5000 0.5000 0.5000
F1 F 0.0000 0.0000 0.0000
```

***

[6]
The following is a PBE calculation of a geometry-optimized K2SrPbF6 structure, from Alexandria via LeMat-Bulk.

```
data_K2SrPbF6
_chemical_formula_sum 'K4 Sr2 Pb2 F12'
_cell_length_a 6.4689
_cell_length_b 6.6983
_cell_length_c 11.2714
_cell_angle_alpha 90.00
_cell_angle_beta 124.91
_cell_angle_gamma 90.00
_symmetry_space_group_name_H-M 'P 1 21/c 1'
_symmetry_Int_Tables_number 14
loop_
_symmetry_equiv_pos_as_xyz
'x,y,z'
'-x,-y,-z'
'-x,y+1/2,-z+1/2'
'x,-y+1/2,z+1/2'
loop_
_atom_site_label
_atom_site_type_symbol
_atom_site_fract_x
_atom_site_fract_y
_atom_site_fract_z
K1 K 0.2331 0.0521 0.2499
Sr1 Sr 0.5000 0.0000 0.0000
Pb1 Pb 0.0000 0.0000 0.5000
F1 F 0.1372 0.1992 0.9366
F2 F 0.2396 0.7041 0.9352
F3 F 0.3714 0.0571 0.7525
```

***

[7]
The following is a PBE calculation of a geometry-optimized KTlPbF4 structure, from Alexandria via LeMat-Bulk.

```
data_KTlPbF4
_chemical_formula_sum 'K2 Tl2 Pb2 F8'
_cell_length_a 4.6365
_cell_length_b 4.6365
_cell_length_c 14.6482
_cell_angle_alpha 90.00
_cell_angle_beta 90.00
_cell_angle_gamma 90.00
_symmetry_space_group_name_H-M 'I 4 m m'
_symmetry_Int_Tables_number 107
_symmetry_space_group_name_Hall 'I 4 -2'
loop_
_atom_site_label
_atom_site_type_symbol
_atom_site_fract_x
_atom_site_fract_y
_atom_site_fract_z
K1 K 0.0000 0.0000 0.0000
Tl1 Tl 0.0000 0.0000 0.3147
Pb1 Pb 0.0000 0.0000 0.6449
F1 F 0.0000 0.0000 0.4745
F2 F 0.0000 0.0000 0.8213
F3 F 0.0000 0.5000 0.1061
```

***

[8]
The following is a PBE calculation of a geometry-optimized KTlPb2F8 structure, from Alexandria via LeMat-Bulk.

```
data_KTlPb2F8
_chemical_formula_sum 'K1 Tl1 Pb2 F8'
_cell_length_a 4.2358
_cell_length_b 8.2069
_cell_length_c 5.9374
_cell_angle_alpha 90.00
_cell_angle_beta 93.17
_cell_angle_gamma 90.00
_symmetry_space_group_name_H-M 'P 1 2/m 1'
_symmetry_Int_Tables_number 10
loop_
_symmetry_equiv_pos_as_xyz
'x,y,z'
'-x,-y,-z'
'-x,y,-z'
'x,-y,z'
loop_
_atom_site_label
_atom_site_type_symbol
_atom_site_fract_x
_atom_site_fract_y
_atom_site_fract_z
K1 K 0.0000 0.0000 0.0000
Tl1 Tl 0.0000 0.5000 0.0000
Pb1 Pb 0.5000 0.2460 0.5000
F1 F 0.0217 0.2876 0.7568
F2 F 0.4646 0.5000 0.2160
F3 F 0.4890 0.0000 0.7271
```

***

[9]
The following is a PBE calculation of a geometry-optimized K2TlPb2F7 structure, from Alexandria via LeMat-Bulk.

```
data_K2TlPb2F7
_chemical_formula_sum 'K4 Tl2 Pb4 F14'
_cell_length_a 6.1169
_cell_length_b 7.3042
_cell_length_c 12.2609
_cell_angle_alpha 90.00
_cell_angle_beta 103.31
_cell_angle_gamma 90.00
_symmetry_space_group_name_H-M 'C 1 2/m 1'
_symmetry_Int_Tables_number 12
loop_
_symmetry_equiv_pos_as_xyz
'x,y,z'
'-x,-y,-z'
'-x,y,-z'
'x,-y,z'
'x+1/2,y+1/2,z'
'-x+1/2,-y+1/2,-z'
'-x+1/2,y+1/2,-z'
'x+1/2,-y+1/2,z'
loop_
_atom_site_label
_atom_site_type_symbol
_atom_site_fract_x
_atom_site_fract_y
_atom_site_fract_z
K1 K 0.1702 0.0000 0.3798
Tl1 Tl 0.0000 0.0000 0.0000
Pb1 Pb 0.1036 0.5000 0.2064
F1 F 0.0000 0.5000 0.0000
F2 F 0.0862 0.1926 0.7955
F3 F 0.2263 0.5000 0.4069
```

***

[10]
The following is a PBE calculation of a geometry-optimized KTl2PbF6 structure, from Alexandria via LeMat-Bulk.

```
data_KTl2PbF6
_chemical_formula_sum 'K2 Tl4 Pb2 F12'
_cell_length_a 6.5337
_cell_length_b 6.8607
_cell_length_c 11.4102
_cell_angle_alpha 90.00
_cell_angle_beta 124.21
_cell_angle_gamma 90.00
_symmetry_space_group_name_H-M 'P 1 21/c 1'
_symmetry_Int_Tables_number 14
loop_
_symmetry_equiv_pos_as_xyz
'x,y,z'
'-x,-y,-z'
'-x,y+1/2,-z+1/2'
'x,-y+1/2,z+1/2'
loop_
_atom_site_label
_atom_site_type_symbol
_atom_site_fract_x
_atom_site_fract_y
_atom_site_fract_z
K1 K 0.0000 0.0000 0.0000
Tl1 Tl 0.2332 0.0436 0.7435
Pb1 Pb 0.5000 0.0000 0.5000
F1 F 0.1647 0.1697 0.4596
F2 F 0.2659 0.7230 0.4342
F3 F 0.3791 0.0519 0.2709
```

***

[11]
The following is a PBE calculation of a geometry-optimized KTmPb2F8 structure, from Alexandria via LeMat-Bulk.

```
data_KTmPb2F8
_chemical_formula_sum 'K1 Tm1 Pb2 F8'
_cell_length_a 4.0737
_cell_length_b 5.9668
_cell_length_c 8.2607
_cell_angle_alpha 90.00
_cell_angle_beta 90.00
_cell_angle_gamma 90.00
_symmetry_space_group_name_H-M 'P m m m'
_symmetry_Int_Tables_number 47
loop_
_symmetry_equiv_pos_as_xyz
'x,y,z'
'-x,-y,-z'
'-x,-y,z'
'x,y,-z'
'x,-y,-z'
'-x,y,z'
'-x,y,-z'
'x,-y,z'
loop_
_atom_site_label
_atom_site_type_symbol
_atom_site_fract_x
_atom_site_fract_y
_atom_site_fract_z
K1 K 0.0000 0.0000 0.0000
Tm1 Tm 0.0000 0.0000 0.5000
Pb1 Pb 0.5000 0.5000 0.2454
F1 F 0.0000 0.2364 0.2911
F2 F 0.5000 0.2034 0.5000
F3 F 0.5000 0.2761 0.0000
```

***

Values for energy relative to the elements, uncorrected, eV/f.u., ordered as above
-1.92; -28.99; -25.20; -33.03; -6.08; -29.81; -15.84; -27.52; -28.15; -21.19; -36.66